Here is crystalline Cr2InPt at its relaxed geometry from Alexandria via LeMat-Bulk. Energies are from GGA-PBEsol.

Calculated values
- total moment (μB/f.u.) = 0.00
- uncorrected energy (eV/cell) = -28.72
- DOS(E_F) (states/eV per atom) = 1.4112

Structure (POSCAR):
```
Cr2InPt
1.0
-1.717 -2.145 0.215
-0.346 -1.707 -2.136
5.927 -6.288 2.288
Cr In Pt
2 1 1
Direct
0.254 0.254 0.238 Cr
0.746 0.746 0.762 Cr
0.500 0.500 0.500 In
0.000 0.000 0.000 Pt
```

Here is crystalline ZnAs2Se at its relaxed geometry from Alexandria via LeMat-Bulk. Energies are from GGA-PBEsol.

Calculated values
- uncorrected formation energy (meV per atom) = 104.9
- total moment (μB/f.u.) = 0.00
- ΔE to the lowest computed polymorph (meV per atom) = 0.0
- uncorrected energy (eV/cell) = -15.23
- DOS(E_F) (states/eV per atom) = 0.3884

Structure (POSCAR):
```
ZnAs2Se
1.0
-1.445 -1.832 -1.410
2.605 -2.576 0.677
-2.990 -1.226 6.838
As Se Zn
2 1 1
Direct
0.378 0.000 0.725 As
0.622 0.000 0.275 As
0.500 0.500 0.000 Se
0.500 0.500 0.500 Zn
```

Here is crystalline Ba5Cd2Sb5F at its relaxed geometry from Alexandria via LeMat-Bulk. Energies are from GGA-PBEsol.

Calculated values
- uncorrected formation energy (meV per atom) = -1226.1
- total moment (μB/f.u.) = 0.00
- uncorrected energy (eV/cell) = -107.59
- DOS(E_F) (states/eV per atom) = 0.1064

Structure (POSCAR):
```
Ba5Cd2Sb5F
1.0
-4.319 0.851 -2.159
-3.217 -6.071 9.608
-1.331 13.085 7.822
Ba Cd Sb F
10 4 10 2
Direct
0.000 0.000 0.000 Ba
0.000 0.000 0.500 Ba
0.095 0.191 0.750 Ba
0.905 0.809 0.250 Ba
0.899 0.797 0.750 Ba
0.101 0.203 0.250 Ba
0.275 0.550 0.382 Ba
0.725 0.450 0.882 Ba
0.725 0.450 0.618 Ba
0.275 0.550 0.118 Ba
0.367 0.734 0.911 Cd
0.633 0.266 0.411 Cd
0.633 0.266 0.089 Cd
0.367 0.734 0.589 Cd
0.490 0.980 0.843 Sb
0.510 0.020 0.343 Sb
0.510 0.020 0.157 Sb
0.490 0.980 0.657 Sb
0.292 0.584 0.750 Sb
0.708 0.416 0.250 Sb
0.149 0.297 0.990 Sb
0.851 0.703 0.490 Sb
0.851 0.703 0.010 Sb
0.149 0.297 0.510 Sb
0.650 0.299 0.750 F
0.350 0.701 0.250 F
```

Here is crystalline CaYSb3 at its relaxed geometry from Alexandria via LeMat-Bulk. Energies are from GGA-PBEsol.

Calculated values
- uncorrected formation energy (meV per atom) = 248.7
- total moment (μB/f.u.) = 0.00
- uncorrected energy (eV/cell) = -21.38
- DOS(E_F) (states/eV per atom) = 0.6248

Structure (POSCAR):
```
CaYSb3
1.0
5.474 0.000 0.000
0.000 5.474 0.000
0.000 0.000 5.474
Y Sb Ca
1 3 1
Direct
0.500 0.500 0.500 Y
0.000 0.500 0.000 Sb
0.000 0.000 0.500 Sb
0.500 0.000 0.000 Sb
0.000 0.000 0.000 Ca
```

Here is crystalline Rb3TaRe at its relaxed geometry from Alexandria via LeMat-Bulk. Energies are from GGA-PBEsol.

Calculated values
- total moment (μB/f.u.) = 7.91
- uncorrected energy (eV/cell) = -14.90
- DOS(E_F) (states/eV per atom) = 3.8121

Structure (POSCAR):
```
Rb3TaRe
1.0
6.341 0.000 0.000
0.000 6.341 0.000
0.000 0.000 6.341
Re Rb Ta
1 3 1
Direct
0.000 0.000 0.000 Re
0.000 0.500 0.000 Rb
0.000 0.000 0.500 Rb
0.500 0.000 0.000 Rb
0.500 0.500 0.500 Ta
```

Here is crystalline Sm3NbSe3O4 at its relaxed geometry from Alexandria via LeMat-Bulk. Energies are from GGA-PBEsol.

Calculated values
- uncorrected formation energy (meV per atom) = -2578.7
- total moment (μB/f.u.) = 0.00
- uncorrected energy (eV/cell) = -348.05
- DOS(E_F) (states/eV per atom) = 0.0000

Structure (POSCAR):
```
Sm3NbSe3O4
1.0
-2.840 -1.472 6.039
-6.815 -1.049 -3.460
3.196 -14.256 -1.972
Sm Nb Se O
12 4 12 16
Direct
0.713 0.507 0.846 Sm
0.284 0.250 0.917 Sm
0.287 0.493 0.154 Sm
0.787 0.493 0.346 Sm
0.213 0.993 0.654 Sm
0.787 0.007 0.346 Sm
0.213 0.507 0.654 Sm
0.713 0.993 0.846 Sm
0.287 0.007 0.154 Sm
0.784 0.250 0.583 Sm
0.716 0.750 0.083 Sm
0.216 0.750 0.417 Sm
0.678 0.250 0.068 Nb
0.322 0.750 0.932 Nb
0.822 0.750 0.568 Nb
0.178 0.250 0.432 Nb
0.997 0.250 0.772 Se
0.047 0.750 0.797 Se
0.003 0.750 0.228 Se
0.453 0.250 0.297 Se
0.497 0.250 0.728 Se
0.547 0.750 0.703 Se
0.500 0.000 0.500 Se
0.953 0.250 0.203 Se
0.503 0.750 0.272 Se
0.000 0.500 0.000 Se
0.000 0.000 0.000 Se
0.500 0.500 0.500 Se
0.357 0.750 0.064 O
0.384 0.526 0.884 O
0.857 0.750 0.436 O
0.384 0.974 0.884 O
0.870 0.250 0.432 O
0.616 0.474 0.116 O
0.630 0.750 0.932 O
0.884 0.974 0.616 O
0.116 0.026 0.384 O
0.370 0.250 0.068 O
0.130 0.750 0.568 O
0.616 0.026 0.116 O
0.116 0.474 0.384 O
0.643 0.250 0.936 O
0.143 0.250 0.564 O
0.884 0.526 0.616 O
```

Here is crystalline KNpCuS3 at its relaxed geometry from Alexandria via LeMat-Bulk. Energies are from GGA-PBEsol.

Calculated values
- uncorrected formation energy (meV per atom) = -1108.1
- total moment (μB/f.u.) = 3.00
- uncorrected energy (eV/cell) = -78.23
- DOS(E_F) (states/eV per atom) = 1.6608

Structure (POSCAR):
```
KNpCuS3
1.0
-1.624 -3.174 -1.564
6.815 -1.745 1.313
-2.580 -3.188 9.150
Np K S Cu
2 2 6 2
Direct
0.000 0.000 0.500 Np
0.000 0.000 0.000 Np
0.257 0.513 0.250 K
0.743 0.487 0.750 K
0.938 0.876 0.250 S
0.062 0.124 0.750 S
0.377 0.753 0.561 S
0.623 0.247 0.439 S
0.623 0.247 0.061 S
0.377 0.753 0.939 S
0.532 0.065 0.250 Cu
0.468 0.935 0.750 Cu
```

Here is crystalline MnSbH2Pd at its relaxed geometry from Alexandria via LeMat-Bulk. Energies are from GGA-PBEsol.

Calculated values
- total moment (μB/f.u.) = 4.04
- uncorrected energy (eV/cell) = -25.37
- DOS(E_F) (states/eV per atom) = 0.1869

Structure (POSCAR):
```
MnSbH2Pd
1.0
3.652 0.000 0.000
0.000 3.652 0.000
0.000 0.000 5.324
Sb Mn Pd H
1 1 1 2
Direct
0.000 0.000 0.500 Sb
0.500 0.500 0.500 Mn
0.000 0.000 0.000 Pd
0.000 0.500 0.000 H
0.500 0.000 0.000 H
```

Here is crystalline NbSbI2O at its relaxed geometry from Alexandria via LeMat-Bulk. Energies are from GGA-PBEsol.

Calculated values
- uncorrected formation energy (meV per atom) = 685.8
- total moment (μB/f.u.) = 1.41
- ΔE to the lowest computed polymorph (meV per atom) = 228.1
- uncorrected energy (eV/cell) = -20.73
- DOS(E_F) (states/eV per atom) = 1.3948

Structure (POSCAR):
```
NbSbI2O
1.0
-1.698 -0.025 -5.109
2.786 -4.518 -0.904
-4.282 -2.928 1.437
I Sb Nb O
2 1 1 1
Direct
0.000 0.500 0.000 I
0.500 0.000 0.000 I
0.000 0.000 0.500 Sb
0.000 0.000 0.000 Nb
0.500 0.500 0.500 O
```

Here is crystalline LiCoP3O9 at its relaxed geometry from Alexandria via LeMat-Bulk. Energies are from GGA-PBEsol.

Calculated values
- uncorrected formation energy (meV per atom) = -1989.4
- total moment (μB/f.u.) = 3.00
- ΔE to the lowest computed polymorph (meV per atom) = 0.0
- uncorrected energy (eV/cell) = -408.69
- DOS(E_F) (states/eV per atom) = 0.7608

Structure (POSCAR):
```
LiCoP3O9
1.0
8.344 0.000 0.000
0.000 8.499 0.000
0.000 0.000 8.599
Li Co P O
4 4 12 36
Direct
0.151 0.135 0.384 Li
0.849 0.635 0.116 Li
0.651 0.365 0.616 Li
0.349 0.865 0.884 Li
0.870 0.356 0.343 Co
0.630 0.644 0.843 Co
0.370 0.144 0.657 Co
0.130 0.856 0.157 Co
0.684 0.021 0.810 P
0.704 0.690 0.443 P
0.796 0.310 0.943 P
0.816 0.979 0.310 P
0.029 0.320 0.682 P
0.184 0.479 0.190 P
0.204 0.810 0.557 P
0.296 0.190 0.057 P
0.971 0.820 0.818 P
0.471 0.680 0.182 P
0.529 0.180 0.318 P
0.316 0.521 0.690 P
0.607 0.627 0.080 O
0.893 0.373 0.580 O
0.911 0.117 0.366 O
0.959 0.272 0.849 O
0.041 0.772 0.651 O
0.089 0.617 0.134 O
0.107 0.873 0.920 O
0.118 0.383 0.322 O
0.133 0.190 0.621 O
0.139 0.465 0.736 O
0.159 0.864 0.398 O
0.187 0.090 0.155 O
0.222 0.365 0.045 O
0.278 0.635 0.545 O
0.313 0.910 0.655 O
0.341 0.136 0.898 O
0.361 0.535 0.236 O
0.367 0.810 0.121 O
0.382 0.617 0.822 O
0.393 0.127 0.420 O
0.411 0.383 0.634 O
0.867 0.690 0.879 O
0.541 0.728 0.349 O
0.589 0.883 0.866 O
0.459 0.228 0.151 O
0.618 0.117 0.678 O
0.633 0.310 0.379 O
0.639 0.035 0.264 O
0.659 0.636 0.602 O
0.687 0.410 0.845 O
0.722 0.135 0.955 O
0.778 0.865 0.455 O
0.813 0.590 0.345 O
0.841 0.364 0.102 O
0.861 0.965 0.764 O
0.882 0.883 0.178 O
```

Here is crystalline Sr2IrBr at its relaxed geometry from Alexandria via LeMat-Bulk. Energies are from GGA-PBEsol.

Calculated values
- uncorrected formation energy (meV per atom) = -586.3
- total moment (μB/f.u.) = 0.00
- ΔE to the lowest computed polymorph (meV per atom) = 63.7
- uncorrected energy (eV/cell) = -17.72

Structure (POSCAR):
```
Sr2IrBr
1.0
-0.886 -5.069 -0.777
2.143 -2.422 -4.078
3.823 -3.453 0.738
Sr Ir Br
2 1 1
Direct
0.750 0.750 0.750 Sr
0.250 0.250 0.250 Sr
0.500 0.500 0.500 Ir
0.000 0.000 0.000 Br
```

Here is crystalline Hf6Be15Pd8 at its relaxed geometry from Alexandria via LeMat-Bulk. Energies are from GGA-PBEsol.

Calculated values
- total moment (μB/f.u.) = 0.00
- uncorrected energy (eV/cell) = -185.32
- DOS(E_F) (states/eV per atom) = 0.7181

Structure (POSCAR):
```
Hf6Be15Pd8
1.0
-3.762 2.757 6.463
-7.932 -0.564 0.539
-3.291 -5.094 5.172
Hf Be Pd
6 15 8
Direct
0.698 0.302 0.302 Hf
0.302 0.698 0.698 Hf
0.698 0.302 0.698 Hf
0.302 0.698 0.302 Hf
0.698 0.698 0.302 Hf
0.302 0.302 0.698 Hf
0.021 0.326 0.326 Be
0.979 0.674 0.674 Be
0.326 0.021 0.326 Be
0.326 0.326 0.021 Be
0.674 0.979 0.674 Be
0.674 0.674 0.979 Be
0.326 0.326 0.326 Be
0.674 0.674 0.674 Be
0.500 0.000 0.000 Be
0.000 0.500 0.500 Be
0.500 0.000 0.500 Be
0.000 0.500 0.000 Be
0.500 0.500 0.000 Be
0.000 0.000 0.500 Be
0.000 0.000 0.000 Be
0.626 0.125 0.125 Pd
0.374 0.875 0.875 Pd
0.125 0.626 0.125 Pd
0.125 0.125 0.626 Pd
0.875 0.374 0.875 Pd
0.875 0.875 0.374 Pd
0.125 0.125 0.125 Pd
0.875 0.875 0.875 Pd
```

Here is crystalline CaMnZn2 at its relaxed geometry from Alexandria via LeMat-Bulk. Energies are from GGA-PBEsol.

Calculated values
- total moment (μB/f.u.) = 3.80
- uncorrected energy (eV/cell) = -14.55
- DOS(E_F) (states/eV per atom) = 0.6230

Structure (POSCAR):
```
CaMnZn2
1.0
-2.730 -3.763 -0.150
1.779 -4.116 -1.236
0.502 -3.364 3.172
Zn Mn Ca
2 1 1
Direct
0.750 0.750 0.750 Zn
0.250 0.250 0.250 Zn
0.000 0.000 0.000 Mn
0.500 0.500 0.500 Ca
```

Here is crystalline Tl2PbBr2 at its relaxed geometry from Alexandria via LeMat-Bulk. Energies are from GGA-PBEsol.

Calculated values
- uncorrected formation energy (meV per atom) = -112.9
- total moment (μB/f.u.) = 0.00
- uncorrected energy (eV/cell) = -13.56
- DOS(E_F) (states/eV per atom) = 0.7729

Structure (POSCAR):
```
Tl2PbBr2
1.0
-1.692 -3.532 3.062
4.227 0.234 2.605
-3.973 6.383 1.132
Pb Tl Br
1 2 2
Direct
0.000 0.000 0.000 Pb
0.383 0.383 0.766 Tl
0.617 0.617 0.234 Tl
0.250 0.750 0.500 Br
0.750 0.250 0.500 Br
```

Here is crystalline CuRuSe at its relaxed geometry from Alexandria via LeMat-Bulk. Energies are from GGA-PBEsol.

Calculated values
- uncorrected formation energy (meV per atom) = 307.9
- total moment (μB/f.u.) = 0.00
- uncorrected energy (eV/cell) = -17.43
- DOS(E_F) (states/eV per atom) = 0.9876

Structure (POSCAR):
```
CuRuSe
1.0
4.070 0.000 0.000
2.035 3.525 0.000
2.035 1.175 3.323
Cu Ru Se
1 1 1
Direct
0.500 0.500 0.500 Cu
0.250 0.250 0.250 Ru
0.000 0.000 0.000 Se
```

Here is crystalline MnPtAu2 at its relaxed geometry from Alexandria via LeMat-Bulk. Energies are from GGA-PBEsol.

Calculated values
- total moment (μB/f.u.) = 4.30
- uncorrected energy (eV/cell) = -24.91
- DOS(E_F) (states/eV per atom) = 0.2526

Structure (POSCAR):
```
MnPtAu2
1.0
-0.484 2.123 -1.933
-3.707 -0.216 0.691
0.543 3.883 4.128
Mn Au Pt
1 2 1
Direct
0.000 0.000 0.511 Mn
0.000 0.000 0.997 Au
0.500 0.500 0.256 Au
0.500 0.500 0.735 Pt
```

Here is crystalline ZrIrCl3 at its relaxed geometry from Alexandria via LeMat-Bulk. Energies are from GGA-PBEsol.

Calculated values
- uncorrected formation energy (meV per atom) = 358.0
- total moment (μB/f.u.) = 2.20
- uncorrected energy (eV/cell) = -23.15
- DOS(E_F) (states/eV per atom) = 1.3162

Structure (POSCAR):
```
ZrIrCl3
1.0
4.711 0.000 0.000
0.000 4.711 0.000
0.000 0.000 4.711
Ir Zr Cl
1 1 3
Direct
0.000 0.000 0.000 Ir
0.500 0.500 0.500 Zr
0.000 0.500 0.000 Cl
0.000 0.000 0.500 Cl
0.500 0.000 0.000 Cl
```

Here is crystalline RbF3 at its relaxed geometry from Alexandria via LeMat-Bulk. Energies are from GGA-PBEsol.

Calculated values
- uncorrected formation energy (meV per atom) = -1477.2
- total moment (μB/f.u.) = 0.00
- uncorrected energy (eV/cell) = -12.72
- DOS(E_F) (states/eV per atom) = 0.0000

Structure (POSCAR):
```
RbF3
1.0
4.547 0.000 0.000
2.274 3.938 0.000
2.274 1.313 5.246
Rb F
1 3
Direct
0.500 0.500 0.500 Rb
0.000 0.000 0.000 F
0.892 0.892 0.325 F
0.108 0.108 0.675 F
```

Here is crystalline Sb2W at its relaxed geometry from Alexandria via LeMat-Bulk. Energies are from GGA-PBEsol.

Calculated values
- uncorrected formation energy (meV per atom) = 752.5
- total moment (μB/f.u.) = 0.00
- ΔE to the lowest computed polymorph (meV per atom) = 365.9
- uncorrected energy (eV/cell) = -20.66
- DOS(E_F) (states/eV per atom) = 0.8759

Structure (POSCAR):
```
Sb2W
1.0
2.987 0.000 0.000
0.000 4.940 0.000
0.000 -2.470 4.278
Sb W
2 1
Direct
0.826 0.667 0.333 Sb
0.174 0.333 0.667 Sb
0.000 0.000 0.000 W
```

Here is crystalline SrLiP2 at its relaxed geometry from Alexandria via LeMat-Bulk. Energies are from GGA-PBEsol.

Calculated values
- total moment (μB/f.u.) = 0.00
- ΔE to the lowest computed polymorph (meV per atom) = 90.5
- uncorrected energy (eV/cell) = -17.55
- DOS(E_F) (states/eV per atom) = 0.4315

Structure (POSCAR):
```
SrLiP2
1.0
-2.584 0.539 -2.181
-2.757 -1.695 2.847
1.733 5.505 1.994
Sr P Li
1 2 1
Direct
0.531 0.559 0.062 Sr
0.920 0.951 0.841 P
0.275 0.733 0.550 P
0.773 0.257 0.547 Li
```